HoCdIr: relaxed, PBE-GGA.

abc: 8.840 8.840 4.045
angles: 90.00 90.00 154.95
Fractional positions:
Ho  0.093  0.907  0.750
Ho  0.907  0.093  0.250
Cd  0.292  0.708  0.750
Cd  0.708  0.292  0.250
Ir  0.453  0.547  0.750
Ir  0.547  0.453  0.250

Computed properties:
ΔH_f (0 K) = -1.70 eV/f.u.
Uncorrected energy = -32.1 eV/cell
N(E_F) = 3.48 states/eV per cell